The following is a DFT calculation (GGA+U) of a geometry-optimized CsWNO2 structure.

Structure (CIF):
```
data_CsWNO2
_cell_length_a 4.353
_cell_length_b 4.353
_cell_length_c 4.723
_cell_angle_alpha 90.00
_cell_angle_beta 90.00
_cell_angle_gamma 90.00
_space_group_name_H-M_alt 'P 4/m m m'
_space_group_IT_number 123
_space_group_name_Hall '-P 4 2'
loop_
_atom_site_label
_atom_site_type_symbol
_atom_site_fract_x
_atom_site_fract_y
_atom_site_fract_z
Cs1 Cs 0.000 0.000 0.000
W1 W 0.500 0.500 0.500
N1 N 0.000 0.000 0.500
O1 O 0.000 0.500 0.000
```

Calculated values
D(E_F) (states/eV per atom): 0.834
Size of the total moment (μB per formula unit): 1.5
E (eV/atom): -3.082